# Hf2ZnFeH | Alexandria | PBE | optimized geometry
# * total magnetization: 0.5 μB per formula unit
# * electronic total energy: -34.2 eV for the cell shown
# * D(E_F): 2.37 states/eV/f.u.
data_Hf2ZnFeH
_cell_length_a 4.525
_cell_length_b 4.525
_cell_length_c 3.386
_cell_angle_alpha 90.00
_cell_angle_beta 90.00
_cell_angle_gamma 90.00
_space_group_name_H-M_alt 'P 4/m m m'
_space_group_IT_number 123
_space_group_name_Hall '-P 4 2'
loop_
_atom_site_label
_atom_site_type_symbol
_atom_site_fract_x
_atom_site_fract_y
_atom_site_fract_z
Hf1 Hf 0.000 0.500 0.000
Zn1 Zn 0.000 0.000 0.500
Fe1 Fe 0.500 0.500 0.500
H1 H 0.500 0.500 0.000

# HfZnFe2H | Alexandria | PBE | optimized geometry
# * total magnetization: 2.8 μB per formula unit
# * electronic total energy: -31.7 eV for the cell shown
# * D(E_F): 3.42 states/eV/f.u.
data_HfZnFe2H
_cell_length_a 3.843
_cell_length_b 3.843
_cell_length_c 3.992
_cell_angle_alpha 90.00
_cell_angle_beta 90.00
_cell_angle_gamma 90.00
_space_group_name_H-M_alt 'P 4/m m m'
_space_group_IT_number 123
_space_group_name_Hall '-P 4 2'
loop_
_atom_site_label
_atom_site_type_symbol
_atom_site_fract_x
_atom_site_fract_y
_atom_site_fract_z
Hf1 Hf 0.000 0.000 0.000
Zn1 Zn 0.500 0.500 0.000
Fe1 Fe 0.000 0.500 0.500
H1 H 0.000 0.000 0.500

# FeHgH | Alexandria | PBE | optimized geometry
# * total magnetization: 2.3 μB per formula unit
# * electronic total energy: -22.7 eV for the cell shown
# * D(E_F): 1.87 states/eV/f.u.
# * excess energy over the best structure of this formula in the dataset: 0.0000 eV per atom
data_FeHgH
_cell_length_a 3.235
_cell_length_b 4.753
_cell_length_c 5.518
_cell_angle_alpha 75.80
_cell_angle_beta 72.98
_cell_angle_gamma 70.32
_space_group_name_H-M_alt 'P -1'
_space_group_IT_number 2
loop_
_space_group_symop_operation_xyz
'x,y,z'
'-x,-y,-z'
loop_
_atom_site_label
_atom_site_type_symbol
_atom_site_fract_x
_atom_site_fract_y
_atom_site_fract_z
Fe1 Fe 0.185 0.206 0.426
Hg1 Hg 0.424 0.311 0.845
H1 H 0.222 0.896 0.659

# Fe3HgH | Alexandria | PBE | optimized geometry
# * total magnetization: 10.6 μB per formula unit
# * electronic total energy: -18.8 eV for the cell shown
# * D(E_F): 9.03 states/eV/f.u.
# * excess energy over the best structure of this formula in the dataset: 1.8605 eV per atom
data_Fe3HgH
_cell_length_a 4.953
_cell_length_b 4.953
_cell_length_c 4.953
_cell_angle_alpha 90.00
_cell_angle_beta 90.00
_cell_angle_gamma 90.00
_space_group_name_H-M_alt 'P m -3 m'
_space_group_IT_number 221
_space_group_name_Hall '-P 4 2 3'
loop_
_atom_site_label
_atom_site_type_symbol
_atom_site_fract_x
_atom_site_fract_y
_atom_site_fract_z
Fe1 Fe 0.000 0.000 0.500
Hg1 Hg 0.000 0.000 0.000
H1 H 0.500 0.500 0.500

# FeHgH | Alexandria | PBE | optimized geometry
# * total magnetization: 2.2 μB per formula unit
# * electronic total energy: -11.3 eV for the cell shown
# * D(E_F): 1.47 states/eV/f.u.
# * excess energy over the best structure of this formula in the dataset: 0.0124 eV per atom
data_FeHgH
_cell_length_a 2.9709
_cell_length_b 2.9709
_cell_length_c 4.7397
_cell_angle_alpha 90.00
_cell_angle_beta 90.00
_cell_angle_gamma 120.00
_space_group_name_H-M_alt 'P -6 m 2'
_space_group_IT_number 187
_space_group_name_Hall 'P -6 2'
loop_
_atom_site_label
_atom_site_type_symbol
_atom_site_fract_x
_atom_site_fract_y
_atom_site_fract_z
Fe1 Fe 0.0000 0.0000 0.0000
Hg1 Hg 0.3333 0.6667 0.5000
H1 H 0.6667 0.3333 0.0000

# FeHgH | Alexandria | PBE | optimized geometry
# * total magnetization: 2.3 μB per formula unit
# * electronic total energy: -22.3 eV for the cell shown
# * D(E_F): 1.31 states/eV/f.u.
# * excess energy over the best structure of this formula in the dataset: 0.0564 eV per atom
data_FeHgH
_cell_length_a 5.136
_cell_length_b 2.952
_cell_length_c 5.150
_cell_angle_alpha 90.00
_cell_angle_beta 109.74
_cell_angle_gamma 90.00
_space_group_name_H-M_alt 'C 1 m 1'
_space_group_IT_number 8
loop_
_space_group_symop_operation_xyz
'x,y,z'
'x,-y,z'
'x+1/2,y+1/2,z'
'x+1/2,-y+1/2,z'
loop_
_atom_site_label
_atom_site_type_symbol
_atom_site_fract_x
_atom_site_fract_y
_atom_site_fract_z
Fe1 Fe 0.000 0.000 0.000
Hg1 Hg 0.000 0.500 0.507
H1 H 0.330 0.000 0.991

# FeHg2H2 | Alexandria | PBE | optimized geometry
# * total magnetization: 0.1 μB per formula unit
# * electronic total energy: -26.0 eV for the cell shown
# * D(E_F): 2.06 states/eV/f.u.
data_FeHg2H2
_cell_length_a 5.725
_cell_length_b 5.725
_cell_length_c 3.984
_cell_angle_alpha 90.00
_cell_angle_beta 90.00
_cell_angle_gamma 90.00
_space_group_name_H-M_alt 'P 4/m b m'
_space_group_IT_number 127
_space_group_name_Hall '-P 4 2ab'
loop_
_atom_site_label
_atom_site_type_symbol
_atom_site_fract_x
_atom_site_fract_y
_atom_site_fract_z
Fe1 Fe 0.000 0.000 0.000
Hg1 Hg 0.249 0.251 0.500
H1 H 0.250 0.250 0.000

# FeHg2H | Alexandria | PBE | optimized geometry
# * total magnetization: 3.0 μB per formula unit
# * electronic total energy: -38.4 eV for the cell shown
# * D(E_F): 1.59 states/eV/f.u.
# * excess energy over the best structure of this formula in the dataset: 0.0000 eV per atom
data_FeHg2H
_cell_length_a 6.474
_cell_length_b 6.474
_cell_length_c 6.291
_cell_angle_alpha 90.00
_cell_angle_beta 90.00
_cell_angle_gamma 90.00
_space_group_name_H-M_alt 'I -4 2 d'
_space_group_IT_number 122
_space_group_name_Hall 'I -4 2bw'
loop_
_atom_site_label
_atom_site_type_symbol
_atom_site_fract_x
_atom_site_fract_y
_atom_site_fract_z
Fe1 Fe 0.000 0.000 0.000
Hg1 Hg 0.187 0.750 0.625
H1 H 0.000 0.000 0.500

| no. | calculated density (g/cm3) |
| --- | --- |
| 1 | 11.5 |
| 2 | 10.0 |
| 3 | 11.3 |
| 4 | 5.0 |
| 5 | 11.8 |
| 6 | 11.6 |
| 7 | 11.7 |
| 8 | 11.5 |